VASP calculation (PBE-GGA) on crystalline CaHgBr2 at its relaxed geometry.

Summary:
- SG: I-4m2
- Formation energy (no corrections): -1.08 eV per atom

```
4
Lattice="6.190 0.008 0.000 2.695 5.573 0.000 -4.443 -2.791 3.286" Properties=species:S:1:pos:R:3 pbc="T T T"
Hg 3.095 0.004 1.643
Br 1.348 2.786 1.643
Br 0.000 0.000 0.000
Ca 4.443 2.791 0.000
```